A relaxed structure of BaGaAu6. Source: Alexandria, functional PBE-GGA.

```
8
Lattice="3.504 2.023 4.410 -3.504 2.023 4.410 0.000 -4.046 4.410" Properties=species:S:1:pos:R:3 pbc="T T T"
Ba 0.000 0.000 0.000
Ga 0.000 0.000 6.615
Au -2.111 -1.219 5.770
Au 0.000 -2.438 7.459
Au -2.111 1.219 7.459
Au 2.111 -1.219 5.770
Au 0.000 2.438 5.770
Au 2.111 1.219 7.459
```

Output
The space group is R-3m (166). As for the energy of formation from the pure elements: -349 meV/atom. As for the crystal system: trigonal. The total magnetization is 0.0 μB/cell.